#A
Density functional theory data (GGA-PBE) for crystalline TiSi3Mo at its relaxed geometry.

Unit cell a=4.5210 b=4.5210 c=4.5210 alpha=90.00 beta=90.00 gamma=90.00
Closest atoms and distances in Å follow each position.
Space group Pm-3m (No. 221)
Asymmetric unit:
Ti: 0.0000 0.0000 0.0000 (multiplicity 1)  6 Si 2.26
Si: 0.0000 0.0000 0.5000 (multiplicity 3)  2 Ti 2.26
Mo: 0.5000 0.5000 0.5000 (multiplicity 1)  12 Si 3.20

Summary:
magnetization	0.000	μB/f.u.

***

#B
Density functional theory data (GGA-PBE) for crystalline TiSi3Mo at its relaxed geometry.

Unit cell a=4.6422 b=4.6422 c=4.6422 alpha=90.00 beta=90.00 gamma=90.00
Closest atoms and distances in Å follow each position.
Space group Pm-3m (No. 221)
Asymmetric unit:
Ti: 0.0000 0.0000 0.0000 (multiplicity 1)  12 Si 3.28
Si: 0.0000 0.5000 0.5000 (multiplicity 3)  2 Mo 2.32
Mo: 0.5000 0.5000 0.5000 (multiplicity 1)  6 Si 2.32

Summary:
magnetization	0.099	μB/f.u.

***

Quick one: most stable of them? #B

***

#A
Density functional theory data (GGA-PBE) for crystalline Ti3SiMo at its relaxed geometry.

Unit cell a=4.6838 b=4.6838 c=4.6838 alpha=90.00 beta=90.00 gamma=90.00
Closest atoms and distances in Å follow each position.
Space group Pm-3m (No. 221)
Asymmetric unit:
Ti: 0.0000 0.0000 0.5000 (multiplicity 3)  2 Mo 2.34
Si: 0.5000 0.5000 0.5000 (multiplicity 1)  12 Ti 3.31
Mo: 0.0000 0.0000 0.0000 (multiplicity 1)  6 Ti 2.34

Summary:
magnetization	1.570	μB/f.u.

***

#B
Density functional theory data (GGA-PBE) for crystalline Ti3SiMo at its relaxed geometry.

Unit cell a=4.5427 b=4.5427 c=4.5427 alpha=90.00 beta=90.00 gamma=90.00
Closest atoms and distances in Å follow each position.
Space group Pm-3m (No. 221)
Asymmetric unit:
Ti: 0.0000 0.0000 0.5000 (multiplicity 3)  2 Si 2.27
Si: 0.0000 0.0000 0.0000 (multiplicity 1)  6 Ti 2.27
Mo: 0.5000 0.5000 0.5000 (multiplicity 1)  12 Ti 3.21

Summary:
magnetization	0.000	μB/f.u.

***

Quick one: most stable of them? #B

***

#A
Density functional theory data (GGA-PBE) for crystalline TlSiMo at its relaxed geometry.

Unit cell a=4.2329 b=4.2329 c=3.6810 alpha=90.00 beta=90.00 gamma=120.00
Closest atoms and distances in Å follow each position.
Space group P-6m2 (No. 187)
Asymmetric unit:
Tl: 0.0000 0.0000 0.0000 (multiplicity 1)  6 Si 3.06, 6 Mo 3.06
Si: 0.3333 0.6667 0.5000 (multiplicity 1)  3 Mo 2.44
Mo: 0.6667 0.3333 0.5000 (multiplicity 1)  3 Si 2.44

Summary:
magnetization	0.000	μB/f.u.

***

#B
Density functional theory data (GGA-PBE) for crystalline TlSiMo at its relaxed geometry.

Unit cell a=3.3427 b=3.3427 c=10.0129 alpha=90.00 beta=90.00 gamma=90.00
Closest atoms and distances in Å follow each position.
Space group I4mm (No. 107)
Asymmetric unit:
Tl: 0.0000 0.0000 0.0000 (multiplicity 2)  5 Si 2.89-3.17, 5 Mo 2.97-3.12
Si: 0.0000 0.0000 0.7116 (multiplicity 2)  4 Mo 2.51
Mo: 0.0000 0.0000 0.2969 (multiplicity 2)  4 Si 2.51

Summary:
magnetization	0.650	μB/f.u.

***

Quick one: most stable of them? #B

***

#A
Density functional theory data (GGA-PBE) for crystalline TlSiMo at its relaxed geometry.

Unit cell a=2.9047 b=2.9047 c=13.6116 alpha=90.00 beta=90.00 gamma=90.00
Closest atoms and distances in Å follow each position.
Space group I4mm (No. 107)
Asymmetric unit:
Tl: 0.0000 0.0000 0.0000 (multiplicity 2)  4 Tl 2.90, 4 Mo 3.15
Si: 0.0000 0.0000 0.6992 (multiplicity 2)  4 Mo 2.67, 4 Si 2.90
Mo: 0.0000 0.0000 0.3245 (multiplicity 2)  4 Si 2.67, 4 Mo 2.90

Summary:
magnetization	0.000	μB/f.u.

***

#B
Density functional theory data (GGA-PBE) for crystalline TlSiMo at its relaxed geometry.

Unit cell a=3.1663 b=3.1663 c=6.6199 alpha=90.00 beta=90.00 gamma=120.00
Closest atoms and distances in Å follow each position.
Space group P3m1 (No. 156)
Asymmetric unit:
Tl: 0.0000 0.0000 0.0000 (multiplicity 1)  3 Mo 3.04, 3 Si 3.13, 6 Tl 3.17
Si: 0.3333 0.6667 0.6168 (multiplicity 1)  3 Mo 2.47
Mo: 0.6667 0.3333 0.3663 (multiplicity 1)  3 Si 2.47

Summary:
magnetization	0.000	μB/f.u.

***

Quick one: most stable of them? #B

***

#A
Density functional theory data (GGA-PBE) for crystalline VSi2Mo at its relaxed geometry.

Unit cell a=3.0306 b=3.0306 c=5.9575 alpha=90.00 beta=90.00 gamma=90.00
Closest atoms and distances in Å follow each position.
Space group P4/mmm (No. 123)
Asymmetric unit:
V: 0.0000 0.0000 0.0000 (multiplicity 1)  8 Si 2.60
Si: 0.5000 0.5000 0.2472 (multiplicity 2)  4 V 2.60, 4 Mo 2.62
Mo: 0.0000 0.0000 0.5000 (multiplicity 1)  8 Si 2.62

Summary:
magnetization	0.001	μB/f.u.

***

#B
Density functional theory data (GGA-PBE) for crystalline VSi2Mo at its relaxed geometry.

Unit cell a=3.0464 b=3.4064 c=5.6295 alpha=90.00 beta=103.69 gamma=90.00
Closest atoms and distances in Å follow each position.
Space group Pm (No. 6)
Asymmetric unit:
V: 0.0000 0.0000 0.0000 (multiplicity 1)  6 Si 2.42-2.61, 1 Mo 2.67
Si: 0.2582 0.5000 0.3059 (multiplicity 1)  2 V 2.42, 4 Mo 2.52-2.58, 1 Si 2.60
Si: 0.4212 0.5000 0.7804 (multiplicity 1)  4 V 2.55-2.61, 1 Si 2.60, 4 Mo 2.67-2.76
Mo: 0.8307 0.0000 0.5119 (multiplicity 1)  8 Si 2.52-2.76, 1 V 2.67

Summary:
magnetization	0.001	μB/f.u.

***

Quick one: most stable of them? #B

***

#A
Density functional theory data (GGA-PBE) for crystalline VSi2Mo at its relaxed geometry.

Unit cell a=6.0300 b=6.0300 c=6.0300 alpha=90.00 beta=90.00 gamma=90.00
Closest atoms and distances in Å follow each position.
Space group Fm-3m (No. 225)
Asymmetric unit:
V: 0.0000 0.0000 0.0000 (multiplicity 4)  8 Si 2.61
Si: 0.2500 0.2500 0.2500 (multiplicity 8)  4 Mo 2.61, 4 V 2.61
Mo: 0.0000 0.0000 0.5000 (multiplicity 4)  8 Si 2.61

Summary:
magnetization	0.199	μB/f.u.

***

#B
Density functional theory data (GGA-PBE) for crystalline VSi2Mo at its relaxed geometry.

Unit cell a=6.6055 b=6.6055 c=5.4843 alpha=90.00 beta=90.00 gamma=90.00
Closest atoms and distances in Å follow each position.
Space group I-42d (No. 122)
Asymmetric unit:
V: 0.0000 0.0000 0.0000 (multiplicity 4)  4 Si 2.41
Si: 0.2442 0.7500 0.1250 (multiplicity 8)  2 V 2.41, 2 Mo 2.46
Mo: 0.0000 0.0000 0.5000 (multiplicity 4)  4 Si 2.46, 2 V 2.74

Summary:
magnetization	0.079	μB/f.u.

***

Quick one: most stable of them? #A

***

#A
Density functional theory data (GGA-PBE) for crystalline VSiMo3 at its relaxed geometry.

Unit cell a=4.4775 b=4.4775 c=4.4775 alpha=90.00 beta=90.00 gamma=90.00
Closest atoms and distances in Å follow each position.
Space group Pm-3m (No. 221)
Asymmetric unit:
V: 0.0000 0.0000 0.0000 (multiplicity 1)  12 Mo 3.17
Si: 0.5000 0.5000 0.5000 (multiplicity 1)  6 Mo 2.24
Mo: 0.0000 0.5000 0.5000 (multiplicity 3)  2 Si 2.24

Summary:
magnetization	1.082	μB/f.u.

***

#B
Density functional theory data (GGA-PBE) for crystalline VSiMo3 at its relaxed geometry.

Unit cell a=4.4960 b=4.4960 c=4.4960 alpha=90.00 beta=90.00 gamma=90.00
Closest atoms and distances in Å follow each position.
Space group Pm-3m (No. 221)
Asymmetric unit:
V: 0.0000 0.0000 0.0000 (multiplicity 1)  6 Mo 2.25
Si: 0.5000 0.5000 0.5000 (multiplicity 1)  12 Mo 3.18
Mo: 0.0000 0.0000 0.5000 (multiplicity 3)  2 V 2.25

Summary:
magnetization	0.000	μB/f.u.

***

Quick one: most stable of them? #A